1.
SmZrAg: optimized geometry, PBE. Values from VASP.

Properties
Its distance to the lowest polymorph of the same formula is 209 meV per atom. As for the energy of formation from the pure elements: 0.908 eV per atom. The calculation puts the total magnetization at 0.073 Bohr magnetons per cell.

Geometry as Quantum ESPRESSO input:
```
&SYSTEM
  ibrav = 0, nat = 12, ntyp = 3
/
ATOMIC_SPECIES
Sm 150.36 Sm.upf
Zr 91.22 Zr.upf
Ag 107.87 Ag.upf
CELL_PARAMETERS angstrom
6.824 0.000 0.000
0.000 6.824 0.000
0.000 0.000 6.824
ATOMIC_POSITIONS crystal
Sm 0.000 0.000 0.000
Sm 0.000 0.500 0.500
Sm 0.500 0.000 0.500
Sm 0.500 0.500 0.000
Zr 0.250 0.250 0.250
Zr 0.250 0.750 0.750
Zr 0.750 0.250 0.750
Zr 0.750 0.750 0.250
Ag 0.250 0.250 0.750
Ag 0.250 0.750 0.250
Ag 0.750 0.250 0.250
Ag 0.750 0.750 0.750
```


2.
SmZrAg: optimized geometry, PBE. Values from VASP.

Properties
Its distance to the lowest polymorph of the same formula is 0 meV per atom. As for the energy of formation from the pure elements: 0.699 eV per atom. The calculation puts the total magnetization at 0.036 Bohr magnetons per cell.

Geometry as Quantum ESPRESSO input:
```
&SYSTEM
  ibrav = 0, nat = 12, ntyp = 3
/
ATOMIC_SPECIES
Sm 150.36 Sm.upf
Zr 91.22 Zr.upf
Ag 107.87 Ag.upf
CELL_PARAMETERS angstrom
6.780 0.000 0.000
0.000 6.780 0.000
0.000 0.000 6.780
ATOMIC_POSITIONS crystal
Sm 0.000 0.000 0.000
Sm 0.000 0.500 0.500
Sm 0.500 0.000 0.500
Sm 0.500 0.500 0.000
Zr 0.250 0.250 0.750
Zr 0.250 0.750 0.250
Zr 0.750 0.250 0.250
Zr 0.750 0.750 0.750
Ag 0.000 0.000 0.500
Ag 0.000 0.500 0.000
Ag 0.500 0.000 0.000
Ag 0.500 0.500 0.500
```


3.
Ag7Sn: optimized geometry, PBE. Values from VASP.

Properties
Its distance to the lowest polymorph of the same formula is 0 meV per atom.

Geometry as Quantum ESPRESSO input:
```
&SYSTEM
  ibrav = 0, nat = 16, ntyp = 2
/
ATOMIC_SPECIES
Ag 107.87 Ag.upf
Sn 118.71 Sn.upf
CELL_PARAMETERS angstrom
2.931 0.000 0.000
0.000 2.931 0.000
0.000 0.000 44.879
ATOMIC_POSITIONS crystal
Ag 0.250 0.250 0.022
Ag 0.250 0.250 0.112
Ag 0.250 0.250 0.202
Ag 0.250 0.250 0.294
Ag 0.250 0.250 0.752
Ag 0.250 0.250 0.843
Ag 0.250 0.250 0.933
Ag 0.750 0.750 0.067
Ag 0.750 0.750 0.157
Ag 0.750 0.750 0.248
Ag 0.750 0.750 0.706
Ag 0.750 0.750 0.798
Ag 0.750 0.750 0.888
Ag 0.750 0.750 0.978
Sn 0.250 0.250 0.653
Sn 0.750 0.750 0.347
```


4.
AgSn2: optimized geometry, PBE. Values from VASP.

Properties
For the raw total energy, the calculation gives -2.6074 eV per atom.

Geometry as Quantum ESPRESSO input:
```
&SYSTEM
  ibrav = 0, nat = 6, ntyp = 2
/
ATOMIC_SPECIES
Ag 107.87 Ag.upf
Sn 118.71 Sn.upf
CELL_PARAMETERS angstrom
0.000 6.002 6.002
6.002 0.000 6.002
6.002 6.002 0.000
ATOMIC_POSITIONS crystal
Ag 0.125 0.125 0.125
Ag 0.875 0.875 0.875
Sn 0.000 0.000 0.000
Sn 0.000 0.000 0.500
Sn 0.000 0.500 0.000
Sn 0.500 0.000 0.000
```


5.
Ag17Sn: optimized geometry, PBE. Values from VASP.

Properties
For the raw total energy, the calculation gives -2.8425 eV per atom.

Geometry as Quantum ESPRESSO input:
```
&SYSTEM
  ibrav = 0, nat = 36, ntyp = 2
/
ATOMIC_SPECIES
Ag 107.87 Ag.upf
Sn 118.71 Sn.upf
CELL_PARAMETERS angstrom
5.799 0.000 0.000
-2.899 5.022 0.000
0.000 0.000 32.832
ATOMIC_POSITIONS crystal
Ag 0.000 0.000 0.000
Ag 0.000 0.000 0.220
Ag 0.000 0.000 0.780
Ag 0.000 0.500 0.000
Ag 0.001 0.500 0.220
Ag 0.166 0.333 0.147
Ag 0.166 0.834 0.147
Ag 0.167 0.333 0.927
Ag 0.167 0.334 0.705
Ag 0.167 0.833 0.705
Ag 0.167 0.833 0.927
Ag 0.333 0.166 0.853
Ag 0.333 0.167 0.073
Ag 0.333 0.667 0.074
Ag 0.333 0.667 0.853
Ag 0.334 0.167 0.295
Ag 0.500 0.000 0.000
Ag 0.500 0.001 0.780
Ag 0.500 0.500 0.000
Ag 0.500 0.500 0.220
Ag 0.500 0.500 0.780
Ag 0.500 0.999 0.220
Ag 0.666 0.833 0.705
Ag 0.667 0.333 0.147
Ag 0.667 0.333 0.926
Ag 0.667 0.833 0.927
Ag 0.667 0.834 0.147
Ag 0.833 0.167 0.073
Ag 0.833 0.167 0.295
Ag 0.833 0.666 0.295
Ag 0.833 0.667 0.073
Ag 0.834 0.166 0.853
Ag 0.834 0.667 0.853
Ag 0.999 0.500 0.780
Sn 0.333 0.667 0.302
Sn 0.667 0.333 0.698
```


6.
AgSn5: optimized geometry, PBE. Values from VASP.

Properties
For the raw total energy, the calculation gives -3.7316 eV per atom.

Geometry as Quantum ESPRESSO input:
```
&SYSTEM
  ibrav = 0, nat = 12, ntyp = 2
/
ATOMIC_SPECIES
Ag 107.87 Ag.upf
Sn 118.71 Sn.upf
CELL_PARAMETERS angstrom
-3.585 3.585 6.221
3.585 -3.585 6.221
3.585 3.585 -6.221
ATOMIC_POSITIONS crystal
Ag 0.250 0.250 0.000
Ag 0.750 0.750 0.000
Sn 0.000 0.000 0.000
Sn 0.013 0.513 0.802
Sn 0.211 0.013 0.500
Sn 0.289 0.789 0.802
Sn 0.487 0.289 0.500
Sn 0.500 0.500 0.000
Sn 0.513 0.711 0.500
Sn 0.711 0.211 0.198
Sn 0.789 0.987 0.500
Sn 0.987 0.487 0.198
```


7.
Ag17Sn: optimized geometry, PBE. Values from VASP.

Properties
For the raw total energy, the calculation gives -2.8417 eV per atom.

Geometry as Quantum ESPRESSO input:
```
&SYSTEM
  ibrav = 0, nat = 36, ntyp = 2
/
ATOMIC_SPECIES
Ag 107.87 Ag.upf
Sn 118.71 Sn.upf
CELL_PARAMETERS angstrom
5.009 0.000 0.000
0.000 5.796 0.000
-0.034 0.000 31.819
ATOMIC_POSITIONS crystal
Ag 0.000 0.000 0.000
Ag 0.000 0.500 0.000
Ag 0.001 0.002 0.227
Ag 0.001 0.498 0.227
Ag 0.166 0.250 0.849
Ag 0.166 0.750 0.303
Ag 0.166 0.750 0.849
Ag 0.167 0.250 0.075
Ag 0.168 0.750 0.075
Ag 0.333 0.001 0.924
Ag 0.333 0.499 0.924
Ag 0.333 0.501 0.151
Ag 0.333 0.999 0.151
Ag 0.334 0.000 0.697
Ag 0.334 0.500 0.697
Ag 0.499 0.750 0.000
Ag 0.500 0.250 0.226
Ag 0.500 0.250 0.774
Ag 0.500 0.750 0.226
Ag 0.500 0.750 0.774
Ag 0.501 0.250 0.000
Ag 0.666 0.000 0.303
Ag 0.666 0.500 0.303
Ag 0.667 0.001 0.849
Ag 0.667 0.499 0.849
Ag 0.667 0.501 0.076
Ag 0.667 0.999 0.076
Ag 0.832 0.250 0.925
Ag 0.833 0.750 0.925
Ag 0.834 0.250 0.151
Ag 0.834 0.250 0.697
Ag 0.834 0.750 0.151
Ag 0.999 0.502 0.773
Ag 0.999 0.998 0.773
Sn 0.165 0.250 0.310
Sn 0.835 0.750 0.690
```


8.
Ag7Sn2: optimized geometry, PBE. Values from VASP.

Properties
For the raw total energy, the calculation gives -2.9899 eV per atom.

Geometry as Quantum ESPRESSO input:
```
&SYSTEM
  ibrav = 0, nat = 9, ntyp = 2
/
ATOMIC_SPECIES
Ag 107.87 Ag.upf
Sn 118.71 Sn.upf
CELL_PARAMETERS angstrom
2.999 0.000 0.000
-1.500 2.597 0.000
0.000 0.000 33.137
ATOMIC_POSITIONS crystal
Ag 0.000 0.000 0.000
Ag 0.000 0.000 0.210
Ag 0.000 0.000 0.790
Ag 0.333 0.667 0.140
Ag 0.333 0.667 0.930
Ag 0.667 0.333 0.070
Ag 0.667 0.333 0.860
Sn 0.333 0.667 0.714
Sn 0.667 0.333 0.286
```


9.
AgSn2: optimized geometry, PBE. Values from VASP.

Properties
For the raw total energy, the calculation gives -3.2419 eV per atom.

Geometry as Quantum ESPRESSO input:
```
&SYSTEM
  ibrav = 0, nat = 6, ntyp = 2
/
ATOMIC_SPECIES
Ag 107.87 Ag.upf
Sn 118.71 Sn.upf
CELL_PARAMETERS angstrom
0.000 4.318 4.318
4.318 0.000 4.318
4.318 4.318 0.000
ATOMIC_POSITIONS crystal
Ag 0.125 0.125 0.125
Ag 0.875 0.875 0.875
Sn 0.000 0.500 0.500
Sn 0.500 0.000 0.500
Sn 0.500 0.500 0.000
Sn 0.500 0.500 0.500
```


10.
Ag8Sn: optimized geometry, PBE. Values from VASP.

Properties
For the raw total energy, the calculation gives -2.8850 eV per atom.

Geometry as Quantum ESPRESSO input:
```
&SYSTEM
  ibrav = 0, nat = 18, ntyp = 2
/
ATOMIC_SPECIES
Ag 107.87 Ag.upf
Sn 118.71 Sn.upf
CELL_PARAMETERS angstrom
4.569 -2.006 0.000
4.569 2.006 0.000
-0.241 0.000 28.776
ATOMIC_POSITIONS crystal
Ag 0.049 0.049 0.385
Ag 0.050 0.050 0.716
Ag 0.150 0.150 0.484
Ag 0.251 0.251 0.583
Ag 0.255 0.255 0.249
Ag 0.350 0.350 0.351
Ag 0.350 0.350 0.682
Ag 0.449 0.449 0.451
Ag 0.551 0.551 0.549
Ag 0.650 0.650 0.318
Ag 0.650 0.650 0.649
Ag 0.745 0.745 0.751
Ag 0.749 0.749 0.417
Ag 0.850 0.850 0.516
Ag 0.950 0.950 0.284
Ag 0.951 0.951 0.615
Sn 0.445 0.445 0.784
Sn 0.555 0.555 0.216
```


11.
Ag7Sn: optimized geometry, PBE. Values from VASP.

Properties
Its distance to the lowest polymorph of the same formula is 5 meV per atom.

Geometry as Quantum ESPRESSO input:
```
&SYSTEM
  ibrav = 0, nat = 16, ntyp = 2
/
ATOMIC_SPECIES
Ag 107.87 Ag.upf
Sn 118.71 Sn.upf
CELL_PARAMETERS angstrom
2.957 0.000 0.000
0.000 4.017 0.000
0.000 0.000 32.523
ATOMIC_POSITIONS crystal
Ag 0.250 0.250 0.023
Ag 0.250 0.250 0.114
Ag 0.250 0.250 0.205
Ag 0.250 0.250 0.298
Ag 0.250 0.250 0.748
Ag 0.250 0.250 0.840
Ag 0.250 0.250 0.931
Ag 0.750 0.750 0.069
Ag 0.750 0.750 0.160
Ag 0.750 0.750 0.252
Ag 0.750 0.750 0.702
Ag 0.750 0.750 0.795
Ag 0.750 0.750 0.886
Ag 0.750 0.750 0.977
Sn 0.250 0.250 0.651
Sn 0.750 0.750 0.349
```